Record 1
VASP calculation (GGA-PBE) on an optimized crystal structure of Na12Te3Cl5.

Lattice parameters (Å, degrees): 14.889 14.889 14.889 109.47 109.47 109.47
Atoms (fractional coordinates):
Na 0.044 0.219 0.133
Na 0.044 0.325 0.911
Na 0.085 0.719 0.675
Na 0.085 0.867 0.411
Na 0.089 0.633 0.415
Na 0.089 0.956 0.675
Na 0.133 0.044 0.219
Na 0.133 0.589 0.915
Na 0.175 0.219 0.585
Na 0.175 0.456 0.589
Na 0.219 0.133 0.044
Na 0.219 0.585 0.175
Na 0.281 0.325 0.915
Na 0.281 0.456 0.367
Na 0.325 0.911 0.044
Na 0.325 0.915 0.281
Na 0.367 0.281 0.456
Na 0.367 0.585 0.911
Na 0.411 0.085 0.867
Na 0.411 0.825 0.544
Na 0.415 0.089 0.633
Na 0.415 0.825 0.781
Na 0.456 0.367 0.281
Na 0.456 0.589 0.175
Na 0.544 0.411 0.825
Na 0.544 0.633 0.719
Na 0.585 0.175 0.219
Na 0.585 0.911 0.367
Na 0.589 0.175 0.456
Na 0.589 0.915 0.133
Na 0.633 0.415 0.089
Na 0.633 0.719 0.544
Na 0.675 0.085 0.719
Na 0.675 0.089 0.956
Na 0.719 0.544 0.633
Na 0.719 0.675 0.085
Na 0.781 0.415 0.825
Na 0.781 0.867 0.956
Na 0.825 0.544 0.411
Na 0.825 0.781 0.415
Na 0.867 0.411 0.085
Na 0.867 0.956 0.781
Na 0.911 0.044 0.325
Na 0.911 0.367 0.585
Na 0.915 0.133 0.589
Na 0.915 0.281 0.325
Na 0.956 0.675 0.089
Na 0.956 0.781 0.867
Te 0.125 0.250 0.375
Te 0.125 0.375 0.750
Te 0.250 0.375 0.125
Te 0.250 0.875 0.625
Te 0.375 0.125 0.250
Te 0.375 0.750 0.125
Te 0.625 0.250 0.875
Te 0.625 0.875 0.750
Te 0.750 0.125 0.375
Te 0.750 0.625 0.875
Te 0.875 0.625 0.250
Te 0.875 0.750 0.625
Cl 0.000 0.000 0.000
Cl 0.000 0.000 0.500
Cl 0.000 0.500 0.000
Cl 0.000 0.500 0.500
Cl 0.125 0.750 0.875
Cl 0.125 0.875 0.250
Cl 0.250 0.125 0.875
Cl 0.250 0.625 0.375
Cl 0.375 0.250 0.625
Cl 0.375 0.625 0.750
Cl 0.500 0.000 0.000
Cl 0.500 0.000 0.500
Cl 0.500 0.500 0.000
Cl 0.500 0.500 0.500
Cl 0.625 0.375 0.250
Cl 0.625 0.750 0.375
Cl 0.750 0.375 0.625
Cl 0.750 0.875 0.125
Cl 0.875 0.125 0.750
Cl 0.875 0.250 0.125

Calculated values
**N(E_F)**: 5.56 states/eV/cell
**VASP energy**: -2.96 eV per atom
**Energy relative to the elements, uncorrected**: -1.23 eV/atom
**Symmetry**: Ia-3d (230)

Record 2
VASP calculation (GGA-PBE) on an optimized crystal structure of NaTeCl3.

Lattice parameters (Å, degrees): 5.531 5.531 5.531 90.00 90.00 90.00
Atoms (fractional coordinates):
Na 0.000 0.000 0.000
Te 0.500 0.500 0.500
Cl 0.000 0.500 0.500
Cl 0.500 0.000 0.500
Cl 0.500 0.500 0.000

Calculated values
**N(E_F)**: 1.15 states/eV/cell
**E above lowest polymorph**: 22.5 kJ per mole of atoms
**VASP energy**: -2.70 eV per atom
**Energy relative to the elements, uncorrected**: -0.70 eV/atom
**Symmetry**: Pm-3m (221)

Record 3
VASP calculation (GGA-PBE) on an optimized crystal structure of NaTeCl2.

Lattice parameters (Å, degrees): 6.540 6.540 6.540 107.34 107.34 113.83
Atoms (fractional coordinates):
Na 0.000 0.000 0.000
Na 0.750 0.250 0.500
Te 0.250 0.750 0.500
Te 0.500 0.500 0.000
Cl 0.114 0.625 0.989
Cl 0.375 0.364 0.489
Cl 0.636 0.125 0.011
Cl 0.875 0.886 0.511

Calculated values
**N(E_F)**: 7.04 states/eV/cell
**E above lowest polymorph**: 34.8 kJ per mole of atoms
**VASP energy**: -2.59 eV per atom
**Energy relative to the elements, uncorrected**: -0.56 eV/atom
**Symmetry**: I-42d (122)